Record 1
This record from Alexandria describes crystalline Cd3S2Cl2 at its relaxed geometry. The functional is PBE-GGA.

```
data_Cd3S2Cl2
_chemical_formula_sum 'Cd6 S4 Cl4'
_space_group_name_H-M_alt 'C 1 2/m 1'
_space_group_IT_number 12
_space_group_name_Hall '-C 2y'
_cell_length_a 13.8743
_cell_length_b 3.9842
_cell_length_c 6.9873
_cell_angle_alpha 90.00
_cell_angle_beta 110.91
_cell_angle_gamma 90.00
loop_
_atom_site_label
_atom_site_fract_x
_atom_site_fract_y
_atom_site_fract_z
Cd1 0.0000 0.0000 0.0000
Cd2 0.2444 0.0000 0.7324
S1 0.1476 0.0000 0.3176
Cl1 0.1283 0.5000 0.8409
```

---

Record 2
This record from Alexandria describes crystalline CdSbSCl2 at its relaxed geometry. The functional is PBE-GGA.

## Properties
polymorph energy (0 for the lowest one)	0	meV/atom

```
data_CdSbSCl2
_chemical_formula_sum 'Cd1 Sb1 S1 Cl2'
_space_group_name_H-M_alt 'P 4/m m m'
_space_group_IT_number 123
_space_group_name_Hall '-P 4 2'
_cell_length_a 5.3245
_cell_length_b 5.3245
_cell_length_c 5.1508
_cell_angle_alpha 90.00
_cell_angle_beta 90.00
_cell_angle_gamma 90.00
loop_
_atom_site_label
_atom_site_fract_x
_atom_site_fract_y
_atom_site_fract_z
Cd1 0.0000 0.0000 0.0000
Sb1 0.5000 0.5000 0.5000
S1 0.5000 0.5000 0.0000
Cl1 0.0000 0.5000 0.5000
```

---

Record 3
This record from Alexandria describes crystalline CdSbS2Cl at its relaxed geometry. The functional is PBE-GGA.

```
data_CdSbS2Cl
_chemical_formula_sum 'Cd4 Sb4 S8 Cl4'
_space_group_name_H-M_alt 'P n m a'
_space_group_IT_number 62
_space_group_name_Hall '-P 2ac 2n'
_cell_length_a 9.6868
_cell_length_b 3.9543
_cell_length_c 12.8028
_cell_angle_alpha 90.00
_cell_angle_beta 90.00
_cell_angle_gamma 90.00
loop_
_atom_site_label
_atom_site_fract_x
_atom_site_fract_y
_atom_site_fract_z
Cd1 0.0045 0.2500 0.2329
Sb1 0.1833 0.2500 0.5332
S1 0.0544 0.7500 0.3915
S2 0.2368 0.7500 0.6660
Cl1 0.0683 0.2500 0.8904
```

---

Record 4
This record from Alexandria describes crystalline CdSbS2Cl at its relaxed geometry. The functional is PBE-GGA.

```
data_CdSbS2Cl
_chemical_formula_sum 'Cd1 Sb1 S2 Cl1'
_space_group_name_H-M_alt 'P 4/m m m'
_space_group_IT_number 123
_space_group_name_Hall '-P 4 2'
_cell_length_a 5.0620
_cell_length_b 5.0620
_cell_length_c 4.8460
_cell_angle_alpha 90.00
_cell_angle_beta 90.00
_cell_angle_gamma 90.00
loop_
_atom_site_label
_atom_site_fract_x
_atom_site_fract_y
_atom_site_fract_z
Cd1 0.0000 0.0000 0.0000
Sb1 0.5000 0.5000 0.0000
S1 0.0000 0.5000 0.5000
Cl1 0.0000 0.0000 0.5000
```

---

Record 5
This record from Alexandria describes crystalline CdSbSCl2 at its relaxed geometry. The functional is PBE-GGA.

## Properties
polymorph energy (0 for the lowest one)	168	meV/atom

```
data_CdSbSCl2
_chemical_formula_sum 'Cd1 Sb1 S1 Cl2'
_space_group_name_H-M_alt 'P 4/m m m'
_space_group_IT_number 123
_space_group_name_Hall '-P 4 2'
_cell_length_a 4.9911
_cell_length_b 4.9911
_cell_length_c 5.3565
_cell_angle_alpha 90.00
_cell_angle_beta 90.00
_cell_angle_gamma 90.00
loop_
_atom_site_label
_atom_site_fract_x
_atom_site_fract_y
_atom_site_fract_z
Cd1 0.0000 0.0000 0.0000
Sb1 0.5000 0.5000 0.5000
S1 0.0000 0.0000 0.5000
Cl1 0.0000 0.5000 0.0000
```

---

Record 6
This record from Alexandria describes crystalline CdSbS2Cl at its relaxed geometry. The functional is PBE-GGA.

```
data_CdSbS2Cl
_chemical_formula_sum 'Cd1 Sb1 S2 Cl1'
_space_group_name_H-M_alt 'P 4/m m m'
_space_group_IT_number 123
_space_group_name_Hall '-P 4 2'
_cell_length_a 5.0989
_cell_length_b 5.0989
_cell_length_c 5.1456
_cell_angle_alpha 90.00
_cell_angle_beta 90.00
_cell_angle_gamma 90.00
loop_
_atom_site_label
_atom_site_fract_x
_atom_site_fract_y
_atom_site_fract_z
Cd1 0.0000 0.0000 0.0000
Sb1 0.5000 0.5000 0.5000
S1 0.0000 0.5000 0.5000
Cl1 0.5000 0.5000 0.0000
```

---

Record 7
This record from Alexandria describes crystalline CdSbS2Cl at its relaxed geometry. The functional is PBE-GGA.

```
data_CdSbS2Cl
_chemical_formula_sum 'Cd2 Sb2 S4 Cl2'
_space_group_name_H-M_alt 'P 1 21/m 1'
_space_group_IT_number 11
_space_group_name_Hall '-P 2yb'
_cell_length_a 6.2929
_cell_length_b 5.3806
_cell_length_c 8.1709
_cell_angle_alpha 90.00
_cell_angle_beta 98.60
_cell_angle_gamma 90.00
loop_
_atom_site_label
_atom_site_fract_x
_atom_site_fract_y
_atom_site_fract_z
Cd1 0.1520 0.2500 0.3856
Sb1 0.2008 0.2500 0.9048
S1 0.0467 0.7500 0.3606
S2 0.1000 0.7500 0.9256
Cl1 0.4922 0.7500 0.7093
```

---

Record 8
This record from Alexandria describes crystalline ScCdS2Cl at its relaxed geometry. The functional is PBE-GGA.

## Properties
polymorph energy (0 for the lowest one)	0	meV/atom

```
data_ScCdS2Cl
_chemical_formula_sum 'Sc1 Cd1 S2 Cl1'
_space_group_name_H-M_alt 'P 4/m m m'
_space_group_IT_number 123
_space_group_name_Hall '-P 4 2'
_cell_length_a 5.0049
_cell_length_b 5.0049
_cell_length_c 4.8379
_cell_angle_alpha 90.00
_cell_angle_beta 90.00
_cell_angle_gamma 90.00
loop_
_atom_site_label
_atom_site_fract_x
_atom_site_fract_y
_atom_site_fract_z
Sc1 0.0000 0.0000 0.0000
Cd1 0.5000 0.5000 0.5000
S1 0.0000 0.5000 0.0000
Cl1 0.0000 0.0000 0.5000
```

---

Number 1: ΔE_f (raw) -0.71 eV/atom. Number 2: ΔE_f (raw) -0.21 eV/atom. Number 3: ΔE_f (raw) -0.58 eV/atom. Number 4: ΔE_f (raw) 0.75 eV/atom. Number 5: ΔE_f (raw) -0.04 eV/atom. Number 6: ΔE_f (raw) 0.05 eV/atom. Number 7: ΔE_f (raw) -0.53 eV/atom. Number 8: ΔE_f (raw) -0.87 eV/atom.